1.
# CsMgPd PBE-GGA optimized geometry
# VASP energy, eV/atom: -2.221
# Crystal system: cubic
# Space-group type: F-43m (216)
data_CsMgPd
_chemical_formula_sum 'Cs1 Mg1 Pd1'
_cell_length_a 5.303
_cell_length_b 5.303
_cell_length_c 5.303
_cell_angle_alpha 60.00
_cell_angle_beta 60.00
_cell_angle_gamma 60.00
_space_group_name_H-M_alt 'P 1'
_space_group_IT_number 1
loop_
_space_group_symop_operation_xyz
'x,y,z'
loop_
_atom_site_label
_atom_site_type_symbol
_atom_site_fract_x
_atom_site_fract_y
_atom_site_fract_z
_atom_site_occupancy
Mg1 Mg 0.750 0.750 0.750 1
Cs1 Cs 0.250 0.250 0.250 1
Pd1 Pd 0.000 0.000 0.000 1


2.
# CsMgTaPd PBE-GGA optimized geometry
# VASP energy, eV/atom: -3.789
# Energy above the most stable polymorph in this dataset, meV/atom: 0
# Crystal system: cubic
# Space-group type: F-43m (216)
data_CsMgTaPd
_chemical_formula_sum 'Cs1 Mg1 Ta1 Pd1'
_cell_length_a 4.969
_cell_length_b 4.969
_cell_length_c 4.969
_cell_angle_alpha 60.00
_cell_angle_beta 60.00
_cell_angle_gamma 60.00
_space_group_name_H-M_alt 'P 1'
_space_group_IT_number 1
loop_
_space_group_symop_operation_xyz
'x,y,z'
loop_
_atom_site_label
_atom_site_type_symbol
_atom_site_fract_x
_atom_site_fract_y
_atom_site_fract_z
_atom_site_occupancy
Mg1 Mg 0.750 0.750 0.750 1
Ta1 Ta 0.250 0.250 0.250 1
Cs1 Cs 0.000 0.000 0.000 1
Pd1 Pd 0.500 0.500 0.500 1


> Which of these has the highest VASP energy?

CsMgPd


> Look up the VASP energy of the first one.

-2.221 eV/atom


> The highest VASP energy belongs to which entry?

CsMgPd


Copy entry 1 word for word.
# CsMgPd PBE-GGA optimized geometry
# VASP energy, eV/atom: -2.221
# Crystal system: cubic
# Space-group type: F-43m (216)
data_CsMgPd
_chemical_formula_sum 'Cs1 Mg1 Pd1'
_cell_length_a 5.303
_cell_length_b 5.303
_cell_length_c 5.303
_cell_angle_alpha 60.00
_cell_angle_beta 60.00
_cell_angle_gamma 60.00
_space_group_name_H-M_alt 'P 1'
_space_group_IT_number 1
loop_
_space_group_symop_operation_xyz
'x,y,z'
loop_
_atom_site_label
_atom_site_type_symbol
_atom_site_fract_x
_atom_site_fract_y
_atom_site_fract_z
_atom_site_occupancy
Mg1 Mg 0.750 0.750 0.750 1
Cs1 Cs 0.250 0.250 0.250 1
Pd1 Pd 0.000 0.000 0.000 1